Record 1
{
  "formula": "Tb4Pm4Mg",
  "functional": "PBE-GGA",
  "state": "relaxed",
  "lattice": [[-0.1279, -3.9993, -3.0914], [-2.3288, -6.3639, 4.1941], [-7.2719, -0.4698, -3.2267]],
  "species": ["Tb", "Tb", "Tb", "Tb", "Pm", "Pm", "Pm", "Pm", "Mg"],
  "frac_coords": [[0.6659, 0.3341, 0.3341], [0.3341, 0.6659, 0.6659], [0.0000, 0.6659, 0.3341], [0.0000, 0.3341, 0.6659], [0.6660, 0.6681, 0.0000], [0.3340, 0.3319, 0.0000], [0.6659, 0.0000, 0.6681], [0.3341, 0.0000, 0.3319], [0.0000, 0.0000, 0.0000]],
  "magnetic_moment_mub_per_atom": 0.000
}

Record 2
{
  "formula": "Tb5Pm4Mg2",
  "functional": "PBE-GGA",
  "state": "relaxed",
  "lattice": [[3.4207, -0.0001, -0.6848], [-1.1829, 9.8422, -5.9084], [0.9077, -4.8133, 13.4200]],
  "species": ["Tb", "Tb", "Tb", "Tb", "Tb", "Pm", "Pm", "Pm", "Pm", "Mg", "Mg"],
  "frac_coords": [[0.2120, 0.0414, 0.4240], [0.7880, 0.9586, 0.5760], [0.1754, 0.2715, 0.3508], [0.5000, 0.0000, 0.0000], [0.8246, 0.7285, 0.6492], [0.6430, 0.4749, 0.2860], [0.0234, 0.7694, 0.0467], [0.3570, 0.5251, 0.7140], [0.9766, 0.2306, 0.9533], [0.5901, 0.6488, 0.1802], [0.4099, 0.3512, 0.8198]],
  "magnetic_moment_mub_per_atom": 0.000,
  "de_polymorph_ev_per_atom": 0.056
}

Record 3
{
  "formula": "TbPm2Mg",
  "functional": "PBE-GGA",
  "state": "relaxed",
  "lattice": [[3.4405, 0.0000, 0.0000], [1.7202, 2.9795, 0.0000], [1.7202, 0.9932, 12.4073]],
  "species": ["Mg", "Tb", "Pm", "Pm"],
  "frac_coords": [[0.5000, 0.5000, 0.5000], [0.0000, 0.0000, 0.0000], [0.0918, 0.0918, 0.7246], [0.9082, 0.9082, 0.2754]],
  "magnetic_moment_mub_per_atom": 0.092,
  "de_polymorph_ev_per_atom": 0.255
}

Record 4
{
  "formula": "Tb8Pm2Mg",
  "functional": "PBE-GGA",
  "state": "relaxed",
  "lattice": [[-4.3501, 0.6846, -3.3401], [-3.9345, -5.3069, 4.0366], [1.2132, 8.3213, 4.6984]],
  "species": ["Tb", "Tb", "Tb", "Tb", "Tb", "Tb", "Tb", "Tb", "Pm", "Pm", "Mg"],
  "frac_coords": [[0.6350, 0.8554, 0.2701], [0.3650, 0.5854, 0.7300], [0.1738, 0.1738, 0.3476], [0.0000, 0.2699, 0.0000], [0.8262, 0.8262, 0.6524], [0.6350, 0.4146, 0.2700], [0.3650, 0.1446, 0.7299], [0.0000, 0.7301, 0.0000], [0.1958, 0.6957, 0.3915], [0.8042, 0.3043, 0.6085], [0.5000, 0.0000, 0.0000]],
  "magnetic_moment_mub_per_atom": 0.000,
  "de_polymorph_ev_per_atom": 0.000
}

Record 5
{
  "formula": "Tb5Pm2Mg",
  "functional": "PBE-GGA",
  "state": "relaxed",
  "lattice": [[11.3605, -3.0115, 2.4648], [-4.0118, 11.0469, 2.4648], [1.6594, 1.8145, 5.7530]],
  "species": ["Tb", "Tb", "Tb", "Tb", "Tb", "Tb", "Tb", "Tb", "Tb", "Tb", "Pm", "Pm", "Pm", "Pm", "Mg", "Mg"],
  "frac_coords": [[0.6361, 0.3639, 0.7500], [0.3639, 0.6361, 0.2500], [0.5788, 0.8501, 0.4584], [0.9533, 0.8087, 0.1824], [0.8501, 0.5788, 0.9584], [0.1913, 0.0467, 0.3176], [0.8087, 0.9533, 0.6824], [0.0467, 0.1913, 0.8176], [0.1499, 0.4212, 0.0416], [0.4212, 0.1499, 0.5416], [0.5000, 0.0000, 0.0000], [0.5000, 0.5000, 0.0000], [0.5000, 0.5000, 0.5000], [0.0000, 0.5000, 0.5000], [0.7730, 0.2270, 0.2500], [0.2270, 0.7730, 0.7500]],
  "magnetic_moment_mub_per_atom": 0.000,
  "de_polymorph_ev_per_atom": 0.214
}

Record 6
{
  "formula": "Tb3PmMg",
  "functional": "PBE-GGA",
  "state": "relaxed",
  "lattice": [[-2.9943, -1.6553, 0.6080], [2.5881, -3.3069, 3.7432], [-1.5121, 7.7189, 3.6377]],
  "species": ["Tb", "Tb", "Tb", "Pm", "Mg"],
  "frac_coords": [[0.9230, 0.4230, 0.8461], [0.3469, 0.8469, 0.6938], [0.2346, 0.2346, 0.4692], [0.6383, 0.6383, 0.2765], [0.0342, 0.0342, 0.0684]],
  "magnetic_moment_mub_per_atom": 0.000,
  "de_polymorph_ev_per_atom": 0.000
}

Record 7
{
  "formula": "Tb2PmMg",
  "functional": "PBE-GGA",
  "state": "relaxed",
  "lattice": [[3.6496, 0.0000, 0.0000], [0.0000, 3.6496, 0.0000], [0.0000, 0.0000, 9.1346]],
  "species": ["Mg", "Tb", "Tb", "Pm"],
  "frac_coords": [[0.5000, 0.5000, 0.0000], [0.0000, 0.0000, 0.7715], [0.0000, 0.0000, 0.2285], [0.5000, 0.5000, 0.5000]],
  "magnetic_moment_mub_per_atom": 0.000,
  "de_polymorph_ev_per_atom": 0.000
}

Record 8
{
  "formula": "Tb2Pm2Mg3",
  "functional": "PBE-GGA",
  "state": "relaxed",
  "lattice": [[3.7549, 0.0000, 0.4983], [0.0342, 3.7786, -0.2575], [0.0067, -0.9202, 14.3452]],
  "species": ["Tb", "Tb", "Pm", "Pm", "Mg", "Mg", "Mg"],
  "frac_coords": [[0.7085, 0.2915, 0.5831], [0.2915, 0.7085, 0.4169], [0.5690, 0.4308, 0.8619], [0.4310, 0.5692, 0.1381], [0.8599, 0.1401, 0.2802], [0.0000, 0.0000, 0.0000], [0.1401, 0.8599, 0.7198]],
  "magnetic_moment_mub_per_atom": 0.000
}

Record 9
{
  "formula": "Tb4PmMg5",
  "functional": "PBE-GGA",
  "state": "relaxed",
  "lattice": [[-2.2415, 1.6471, 2.5998], [-2.6013, -2.7327, -0.5114], [8.2534, -10.4240, 13.7202]],
  "species": ["Tb", "Tb", "Tb", "Tb", "Pm", "Mg", "Mg", "Mg", "Mg", "Mg"],
  "frac_coords": [[0.0000, 0.0000, 0.2030], [0.0000, 0.0000, 0.4011], [0.0000, 0.0000, 0.5989], [0.0000, 0.0000, 0.7970], [0.0000, 0.0000, 0.0000], [0.5000, 0.5000, 0.1037], [0.5000, 0.5000, 0.3020], [0.5000, 0.5000, 0.5000], [0.5000, 0.5000, 0.6980], [0.5000, 0.5000, 0.8963]],
  "magnetic_moment_mub_per_atom": 0.000
}

Record 10
{
  "formula": "Tb6Pm12Mg",
  "functional": "PBE-GGA",
  "state": "relaxed",
  "lattice": [[-2.5621, 8.3534, -0.2504], [-7.6550, -3.4525, 2.4264], [3.7049, 0.1963, 7.9147]],
  "species": ["Tb", "Tb", "Tb", "Tb", "Tb", "Tb", "Pm", "Pm", "Pm", "Pm", "Pm", "Pm", "Pm", "Pm", "Pm", "Pm", "Pm", "Pm", "Mg"],
  "frac_coords": [[0.1361, 0.1362, 0.4066], [0.8638, 0.5934, 0.8639], [0.5934, 0.8639, 0.8638], [0.8639, 0.8638, 0.5934], [0.1362, 0.4066, 0.1361], [0.4066, 0.1361, 0.1362], [0.5818, 0.1697, 0.5817], [0.1697, 0.5817, 0.5818], [0.5817, 0.5818, 0.1697], [0.4182, 0.8303, 0.4183], [0.8303, 0.4183, 0.4182], [0.4183, 0.4182, 0.8303], [0.2613, 0.0002, 0.7388], [0.2612, 0.7387, 0.9998], [0.9998, 0.2612, 0.7387], [0.7387, 0.9998, 0.2612], [0.7388, 0.2613, 0.0002], [0.0002, 0.7388, 0.2613], [0.0000, 0.0000, 0.0000]],
  "magnetic_moment_mub_per_atom": 0.000,
  "de_polymorph_ev_per_atom": 0.008
}

Record 11
{
  "formula": "Tb12Pm5Mg2",
  "functional": "PBE-GGA",
  "state": "relaxed",
  "lattice": [[9.2495, 0.0000, 0.0000], [-4.6248, 11.1950, -1.6925], [0.0000, -5.2065, 6.6949]],
  "species": ["Tb", "Tb", "Tb", "Tb", "Tb", "Tb", "Tb", "Tb", "Tb", "Tb", "Tb", "Tb", "Pm", "Pm", "Pm", "Pm", "Pm", "Mg", "Mg"],
  "frac_coords": [[0.0762, 0.1523, 0.2735], [0.0367, 0.7095, 0.9479], [0.6728, 0.7095, 0.9479], [0.1805, 0.7452, 0.4220], [0.5647, 0.7452, 0.4220], [0.5570, 0.1140, 0.7789], [0.4430, 0.8860, 0.2211], [0.8195, 0.2548, 0.5780], [0.4353, 0.2548, 0.5780], [0.9633, 0.2905, 0.0521], [0.3272, 0.2905, 0.0521], [0.9238, 0.8477, 0.7265], [0.2939, 0.5878, 0.6098], [0.2328, 0.4656, 0.8932], [0.0000, 0.0000, 0.5000], [0.7672, 0.5344, 0.1068], [0.7061, 0.4122, 0.3902], [0.6663, 0.0000, 0.0000], [0.3337, 0.0000, 0.0000]],
  "magnetic_moment_mub_per_atom": 0.000
}

Record 12
{
  "formula": "Tb6Pm5Mg",
  "functional": "PBE-GGA",
  "state": "relaxed",
  "lattice": [[-0.1167, -2.4547, -4.4413], [-3.2406, -8.3554, 4.7059], [-5.4672, 7.5955, -1.1553]],
  "species": ["Mg", "Tb", "Tb", "Tb", "Tb", "Tb", "Tb", "Pm", "Pm", "Pm", "Pm", "Pm"],
  "frac_coords": [[0.0000, 0.0000, 0.0000], [0.8335, 0.5861, 0.6674], [0.8336, 0.0814, 0.6673], [0.4999, 0.7508, 0.0000], [0.5001, 0.2492, 0.0000], [0.1664, 0.9186, 0.3327], [0.1665, 0.4139, 0.3326], [0.6673, 0.1674, 0.3347], [0.3340, 0.3342, 0.6684], [0.0000, 0.5000, 0.0000], [0.6660, 0.6658, 0.3316], [0.3327, 0.8326, 0.6653]],
  "magnetic_moment_mub_per_atom": 0.000
}

Energy relative to the elements
In order: 0.02; 0.13; 0.22; 0.11; 0.23; 0.03; -0.03; -0.08; -0.09; 0.13; 0.09; 0.02
Unit: eV per atom